Entry 1:
Density functional theory data (PBE) for a geometry-optimized ZrPIr2 structure.

```
ZrPIr2
1.0
2.934 0.000 0.000
0.000 2.934 0.000
0.000 0.000 7.191
P Ir Zr
1 2 1
direct
0.500 0.500 0.000
0.000 0.000 0.205
0.000 0.000 0.795
0.500 0.500 0.500
```

Symmetry: P4/mmm, No. 123
Energy relative to the elements in eV per atom: -0.465

Entry 2:
Density functional theory data (PBE) for a geometry-optimized Zr2PIr structure.

```
Zr2PIr
1.0
-0.571 -4.212 4.963
-2.473 -5.745 1.890
1.436 -6.014 2.112
P Zr Ir
1 2 1
direct
0.221 0.221 0.221
0.971 0.971 0.971
0.778 0.778 0.778
0.530 0.530 0.530
```

Symmetry: R3m, No. 160
Energy relative to the elements in eV per atom: -0.554

Entry 3:
Density functional theory data (PBE) for a geometry-optimized Zr2PIr structure.

```
Zr2PIr
1.0
-2.890 3.960 -2.293
-3.218 0.838 -4.270
-3.065 -1.015 2.111
Ir P Zr
1 1 2
direct
0.452 0.452 0.625
0.290 0.290 0.125
0.731 0.731 0.625
0.026 0.026 0.125
```

Symmetry: Amm2, No. 38
Energy relative to the elements in eV per atom: -1.025

Entry 4:
Density functional theory data (PBE) for a geometry-optimized ZrP2Ir structure.

```
ZrP2Ir
1.0
0.000 3.125 3.125
3.125 0.000 3.125
3.125 3.125 0.000
Ir Zr P
1 1 2
direct
0.500 0.500 0.500
0.000 0.000 0.000
0.750 0.750 0.750
0.250 0.250 0.250
```

Symmetry: Fm-3m, No. 225
Energy relative to the elements in eV per atom: -0.437

Entry 5:
Density functional theory data (PBE) for a geometry-optimized Zr2PIr structure.

```
Zr2PIr
1.0
4.074 -2.766 -2.860
2.960 -4.359 2.161
-5.271 1.955 -0.910
P Ir Zr
1 1 2
direct
0.712 0.212 0.500
0.518 0.518 0.000
0.003 0.003 0.000
0.267 0.767 0.500
```

Symmetry: Imm2, No. 44
Energy relative to the elements in eV per atom: -0.815

Entry 6:
Density functional theory data (PBE) for a geometry-optimized ZrPIr2 structure.

```
ZrPIr2
1.0
0.568 -4.782 1.399
-4.259 -2.645 -0.088
2.337 3.010 -3.260
P Zr Ir
1 1 2
direct
0.500 0.500 0.000
0.750 0.250 0.500
0.000 0.000 0.000
0.250 0.750 0.500
```

Symmetry: I-4m2, No. 119
Energy relative to the elements in eV per atom: -0.384

Entry 7:
Density functional theory data (PBE) for a geometry-optimized ZrPIr2 structure.

```
ZrPIr2
1.0
5.334 0.000 0.000
0.000 5.334 0.000
2.667 2.667 6.111
P Zr Ir
2 2 4
direct
0.250 0.750 0.500
0.500 0.500 0.000
0.000 0.000 0.000
0.750 0.250 0.500
0.190 0.625 0.250
0.875 0.810 0.750
0.560 0.125 0.250
0.375 0.440 0.750
```

Symmetry: I-42d, No. 122
Energy relative to the elements in eV per atom: -0.251

Entry 8:
Density functional theory data (PBE) for a geometry-optimized Zr2PIr structure.

```
Zr2PIr
1.0
7.150 0.000 0.000
0.000 7.150 0.000
3.575 3.575 3.003
Zr Ir P
4 2 2
direct
0.132 0.625 0.250
0.618 0.125 0.250
0.875 0.868 0.750
0.375 0.382 0.750
0.000 0.000 0.000
0.750 0.250 0.500
0.250 0.750 0.500
0.500 0.500 0.000
```

Symmetry: I-42d, No. 122
Energy relative to the elements in eV per atom: -0.506

Entry 9:
Density functional theory data (PBE) for a geometry-optimized Zr2PIr structure.

```
Zr2PIr
1.0
0.000 3.260 3.260
3.260 0.000 3.260
3.260 3.260 0.000
Ir Zr P
1 2 1
direct
0.500 0.500 0.500
0.000 0.000 0.000
0.750 0.750 0.750
0.250 0.250 0.250
```

Symmetry: F-43m, No. 216
Energy relative to the elements in eV per atom: -0.146

Entry 10:
Density functional theory data (PBE) for a geometry-optimized ZrP2Ir structure.

```
ZrP2Ir
1.0
-2.708 -1.019 -0.171
0.669 -2.053 1.933
-2.347 5.177 6.310
P Ir Zr
2 1 1
direct
0.000 0.000 0.933
0.500 0.500 0.284
0.500 0.500 0.774
0.000 0.000 0.509
```

Symmetry: Cmm2, No. 35
Energy relative to the elements in eV per atom: -0.308

Entry 11:
Density functional theory data (PBE) for a geometry-optimized Zr2PIr structure.

```
Zr2PIr
1.0
-2.214 -1.124 1.704
1.436 -2.644 0.122
3.789 2.356 6.478
Zr P Ir
2 1 1
direct
0.500 0.500 0.277
0.000 0.000 0.957
0.500 0.500 0.716
0.000 0.000 0.550
```

Symmetry: P4mm, No. 99
Energy relative to the elements in eV per atom: -0.366

Entry 12:
Density functional theory data (PBE) for a geometry-optimized Zr2P2Ir structure.

```
Zr2P2Ir
1.0
-6.229 1.248 1.648
-1.957 -5.246 -3.424
0.385 -2.161 3.090
Ir P Zr
2 4 4
direct
0.000 0.000 0.000
0.500 0.500 0.000
0.144 0.356 0.000
0.644 0.144 0.000
0.856 0.644 0.000
0.356 0.856 0.000
0.663 0.837 0.500
0.163 0.663 0.500
0.337 0.163 0.500
0.837 0.337 0.500
```

Symmetry: P4/mbm, No. 127
Energy relative to the elements in eV per atom: -0.957

Entry 13:
Density functional theory data (PBE) for a geometry-optimized ZrP2Ir structure.

```
ZrP2Ir
1.0
4.524 0.000 0.000
2.262 3.918 0.000
2.262 1.306 3.694
P Zr Ir
2 1 1
direct
0.000 0.000 0.000
0.750 0.750 0.750
0.250 0.250 0.250
0.500 0.500 0.500
```

Symmetry: F-43m, No. 216
Energy relative to the elements in eV per atom: -0.056

Entry 14:
Density functional theory data (PBE) for a geometry-optimized ZrP2Ir structure.

```
ZrP2Ir
1.0
-0.195 2.234 2.639
1.170 -2.444 2.156
5.066 1.576 -0.961
P Ir Zr
2 1 1
direct
0.000 0.000 0.943
0.500 0.500 0.281
0.500 0.500 0.826
0.000 0.000 0.450
```

Symmetry: P4mm, No. 99
Energy relative to the elements in eV per atom: -0.649

Entry 15:
Density functional theory data (PBE) for a geometry-optimized ZrPIr2 structure.

```
ZrPIr2
1.0
8.684 -1.453 0.008
8.684 1.453 0.008
8.439 0.000 2.512
Ir P Zr
2 1 1
direct
0.002 0.002 0.002
0.759 0.759 0.759
0.492 0.492 0.492
0.247 0.247 0.247
```

Symmetry: R3m, No. 160
Energy relative to the elements in eV per atom: -0.125

Entry 16:
Density functional theory data (PBE) for a geometry-optimized ZrPIr2 structure.

```
ZrPIr2
1.0
2.951 0.000 0.000
0.000 4.622 0.000
0.000 0.000 4.624
Ir P Zr
2 1 1
direct
0.500 0.000 0.500
0.000 0.000 0.000
0.500 0.500 0.000
0.000 0.500 0.500
```

Symmetry: Pmmm, No. 47
Energy relative to the elements in eV per atom: -0.370

Entry 17:
Density functional theory data (PBE) for a geometry-optimized ZrPIr2 structure.

```
ZrPIr2
1.0
-1.954 1.954 4.127
1.954 -1.954 4.127
1.954 1.954 -4.127
Zr Ir P
1 2 1
direct
0.000 0.000 0.000
0.250 0.750 0.500
0.750 0.250 0.500
0.500 0.500 0.000
```

Symmetry: I4/mmm, No. 139
Energy relative to the elements in eV per atom: -0.480

Entry 18:
Density functional theory data (PBE) for a geometry-optimized Pa3Ir structure.

```
Pa3Ir
1.0
-0.226 0.876 -3.291
-4.307 -3.326 -0.590
-0.702 4.861 3.112
Pa Ir
3 1
direct
0.265 0.682 0.530
0.735 0.152 0.470
0.500 0.417 0.000
0.000 0.917 0.000
```

Symmetry: Immm, No. 71
Energy relative to the elements in eV per atom: -0.385

Entry 19:
Density functional theory data (PBE) for a geometry-optimized Pa4Ir structure.

```
Pa4Ir
1.0
6.491 -0.258 0.000
-2.739 5.890 0.000
-1.876 -2.816 6.450
Ir Pa
2 8
direct
0.572 0.072 0.500
0.322 0.322 0.000
0.166 0.856 0.113
0.686 0.519 0.784
0.106 0.916 0.613
0.744 0.053 0.887
0.303 0.494 0.387
0.735 0.901 0.216
0.151 0.485 0.716
0.769 0.436 0.284
```

Symmetry: Fdd2, No. 43
Energy relative to the elements in eV per atom: -0.161

Entry 20:
Density functional theory data (PBE) for a geometry-optimized PaIr3 structure.

```
PaIr3
1.0
4.085 0.000 0.000
0.000 4.085 0.000
0.000 0.000 4.085
Ir Pa
3 1
direct
0.500 0.000 0.500
0.000 0.500 0.500
0.500 0.500 0.000
0.000 0.000 0.000
```

Symmetry: Pm-3m, No. 221
Energy relative to the elements in eV per atom: -0.848